#A
# MnAg2W (PBE-GGA, optimized geometry)
data_MnAg2W
_symmetry_space_group_name_H-M 'P 1'
_symmetry_Int_Tables_number 1
_symmetry_space_group_name_Hall 'P 1'
_cell_length_a 9.514
_cell_length_b 9.514
_cell_length_c 9.514
_cell_angle_alpha 17.21
_cell_angle_beta 17.21
_cell_angle_gamma 17.21
loop_
_atom_site_label
_atom_site_type_symbol
_atom_site_fract_x
_atom_site_fract_y
_atom_site_fract_z
_atom_site_occupancy
Ag1 Ag 0.001 0.001 0.001 1
Ag2 Ag 0.246 0.246 0.246 1
Mn1 Mn 0.498 0.498 0.498 1
W1 W 0.755 0.755 0.755 1
# Crystal system = trigonal


#B
# MnAg2W (PBE-GGA, optimized geometry)
data_MnAg2W
_symmetry_space_group_name_H-M 'P 1'
_symmetry_Int_Tables_number 1
_symmetry_space_group_name_Hall 'P 1'
_cell_length_a 2.870
_cell_length_b 4.577
_cell_length_c 4.957
_cell_angle_alpha 90.00
_cell_angle_beta 90.00
_cell_angle_gamma 90.00
loop_
_atom_site_label
_atom_site_type_symbol
_atom_site_fract_x
_atom_site_fract_y
_atom_site_fract_z
_atom_site_occupancy
Ag1 Ag 0.000 0.000 0.000 1
Ag2 Ag 0.500 0.500 0.000 1
Mn1 Mn 0.500 0.000 0.500 1
W1 W 0.000 0.500 0.500 1
# Crystal system = orthorhombic


#C
# MnAg2W (PBE-GGA, optimized geometry)
data_MnAg2W
_symmetry_space_group_name_H-M 'P 1'
_symmetry_Int_Tables_number 1
_symmetry_space_group_name_Hall 'P 1'
_cell_length_a 2.762
_cell_length_b 2.762
_cell_length_c 8.622
_cell_angle_alpha 90.00
_cell_angle_beta 90.00
_cell_angle_gamma 90.00
loop_
_atom_site_label
_atom_site_type_symbol
_atom_site_fract_x
_atom_site_fract_y
_atom_site_fract_z
_atom_site_occupancy
Ag1 Ag 0.000 0.000 0.008 1
Ag2 Ag 0.000 0.000 0.492 1
Mn1 Mn 0.500 0.500 0.250 1
W1 W 0.500 0.500 0.750 1
# Crystal system = tetragonal


Stability, descending: #A, #C, #B


#A
# MnAg2W (PBE-GGA, optimized geometry)
data_MnAg2W
_symmetry_space_group_name_H-M 'P 1'
_symmetry_Int_Tables_number 1
_symmetry_space_group_name_Hall 'P 1'
_cell_length_a 4.938
_cell_length_b 4.938
_cell_length_c 2.770
_cell_angle_alpha 90.00
_cell_angle_beta 90.00
_cell_angle_gamma 90.00
loop_
_atom_site_label
_atom_site_type_symbol
_atom_site_fract_x
_atom_site_fract_y
_atom_site_fract_z
_atom_site_occupancy
Ag1 Ag 0.000 0.000 0.000 1
Ag2 Ag 0.500 0.500 0.000 1
Mn1 Mn 0.500 0.000 0.500 1
W1 W 0.000 0.500 0.500 1
# Crystal system = tetragonal


#B
# MnAg2W (PBE-GGA, optimized geometry)
data_MnAg2W
_symmetry_space_group_name_H-M 'P 1'
_symmetry_Int_Tables_number 1
_symmetry_space_group_name_Hall 'P 1'
_cell_length_a 4.746
_cell_length_b 2.697
_cell_length_c 5.135
_cell_angle_alpha 79.06
_cell_angle_beta 90.00
_cell_angle_gamma 90.00
loop_
_atom_site_label
_atom_site_type_symbol
_atom_site_fract_x
_atom_site_fract_y
_atom_site_fract_z
_atom_site_occupancy
Ag1 Ag 0.000 0.061 0.006 1
Ag2 Ag 0.000 0.439 0.494 1
Mn1 Mn 0.500 0.250 0.250 1
W1 W 0.500 0.750 0.750 1
# Crystal system = monoclinic


#C
# MnAg2W (PBE-GGA, optimized geometry)
data_MnAg2W
_symmetry_space_group_name_H-M 'P 1'
_symmetry_Int_Tables_number 1
_symmetry_space_group_name_Hall 'P 1'
_cell_length_a 5.183
_cell_length_b 5.183
_cell_length_c 2.715
_cell_angle_alpha 90.00
_cell_angle_beta 90.00
_cell_angle_gamma 117.14
loop_
_atom_site_label
_atom_site_type_symbol
_atom_site_fract_x
_atom_site_fract_y
_atom_site_fract_z
_atom_site_occupancy
Ag1 Ag 0.000 0.000 0.000 1
Ag2 Ag 0.500 0.500 0.000 1
Mn1 Mn 0.500 0.000 0.500 1
W1 W 0.000 0.500 0.500 1
# Crystal system = orthorhombic


Stability, descending: #B, #C, #A


#A
# MnAg3W (PBE-GGA, optimized geometry)
data_MnAg3W
_symmetry_space_group_name_H-M 'P 1'
_symmetry_Int_Tables_number 1
_symmetry_space_group_name_Hall 'P 1'
_cell_length_a 4.626
_cell_length_b 4.626
_cell_length_c 4.626
_cell_angle_alpha 90.00
_cell_angle_beta 90.00
_cell_angle_gamma 90.00
loop_
_atom_site_label
_atom_site_type_symbol
_atom_site_fract_x
_atom_site_fract_y
_atom_site_fract_z
_atom_site_occupancy
Mn1 Mn 0.000 0.000 0.000 1
Ag1 Ag 0.000 0.500 0.000 1
Ag2 Ag 0.000 0.000 0.500 1
Ag3 Ag 0.500 0.000 0.000 1
W1 W 0.500 0.500 0.500 1
# Crystal system = cubic


#B
# MnAg3W (PBE-GGA, optimized geometry)
data_MnAg3W
_symmetry_space_group_name_H-M 'P 1'
_symmetry_Int_Tables_number 1
_symmetry_space_group_name_Hall 'P 1'
_cell_length_a 5.006
_cell_length_b 5.006
_cell_length_c 5.006
_cell_angle_alpha 90.00
_cell_angle_beta 90.00
_cell_angle_gamma 90.00
loop_
_atom_site_label
_atom_site_type_symbol
_atom_site_fract_x
_atom_site_fract_y
_atom_site_fract_z
_atom_site_occupancy
Mn1 Mn 0.500 0.500 0.500 1
Ag1 Ag 0.000 0.500 0.000 1
Ag2 Ag 0.000 0.000 0.500 1
Ag3 Ag 0.500 0.000 0.000 1
W1 W 0.000 0.000 0.000 1
# Crystal system = cubic


Stability, descending: #A, #B


#A
# YMn2Ag (PBE-GGA, optimized geometry)
data_YMn2Ag
_symmetry_space_group_name_H-M 'P 1'
_symmetry_Int_Tables_number 1
_symmetry_space_group_name_Hall 'P 1'
_cell_length_a 3.411
_cell_length_b 3.409
_cell_length_c 6.732
_cell_angle_alpha 90.00
_cell_angle_beta 90.00
_cell_angle_gamma 90.00
loop_
_atom_site_label
_atom_site_type_symbol
_atom_site_fract_x
_atom_site_fract_y
_atom_site_fract_z
_atom_site_occupancy
Ag1 Ag 0.500 0.500 0.750 1
Mn1 Mn 0.000 0.000 0.963 1
Mn2 Mn 0.000 0.000 0.537 1
Y1 Y 0.500 0.500 0.250 1
# Crystal system = tetragonal


#B
# YMn2Ag (PBE-GGA, optimized geometry)
data_YMn2Ag
_symmetry_space_group_name_H-M 'P 1'
_symmetry_Int_Tables_number 1
_symmetry_space_group_name_Hall 'P 1'
_cell_length_a 4.210
_cell_length_b 4.210
_cell_length_c 4.098
_cell_angle_alpha 90.00
_cell_angle_beta 90.00
_cell_angle_gamma 90.00
loop_
_atom_site_label
_atom_site_type_symbol
_atom_site_fract_x
_atom_site_fract_y
_atom_site_fract_z
_atom_site_occupancy
Ag1 Ag 0.000 0.500 0.500 1
Mn1 Mn 0.000 0.000 0.000 1
Mn2 Mn 0.500 0.500 0.000 1
Y1 Y 0.500 0.000 0.500 1
# Crystal system = tetragonal


Stability, descending: #B, #A


#A
# YMn2Ag (PBE-GGA, optimized geometry)
data_YMn2Ag
_symmetry_space_group_name_H-M 'P 1'
_symmetry_Int_Tables_number 1
_symmetry_space_group_name_Hall 'P 1'
_cell_length_a 5.424
_cell_length_b 5.424
_cell_length_c 5.424
_cell_angle_alpha 47.25
_cell_angle_beta 47.25
_cell_angle_gamma 47.25
loop_
_atom_site_label
_atom_site_type_symbol
_atom_site_fract_x
_atom_site_fract_y
_atom_site_fract_z
_atom_site_occupancy
Ag1 Ag 0.717 0.717 0.717 1
Mn1 Mn 0.980 0.980 0.980 1
Mn2 Mn 0.299 0.299 0.299 1
Y1 Y 0.504 0.504 0.504 1
# Crystal system = trigonal


#B
# YMn2Ag (PBE-GGA, optimized geometry)
data_YMn2Ag
_symmetry_space_group_name_H-M 'P 1'
_symmetry_Int_Tables_number 1
_symmetry_space_group_name_Hall 'P 1'
_cell_length_a 4.743
_cell_length_b 4.743
_cell_length_c 4.743
_cell_angle_alpha 60.00
_cell_angle_beta 60.00
_cell_angle_gamma 60.00
loop_
_atom_site_label
_atom_site_type_symbol
_atom_site_fract_x
_atom_site_fract_y
_atom_site_fract_z
_atom_site_occupancy
Y1 Y 0.000 0.000 0.000 1
Mn1 Mn 0.250 0.250 0.250 1
Mn2 Mn 0.750 0.750 0.750 1
Ag1 Ag 0.500 0.500 0.500 1
# Crystal system = cubic


#C
# YMn2Ag (PBE-GGA, optimized geometry)
data_YMn2Ag
_symmetry_space_group_name_H-M 'P 1'
_symmetry_Int_Tables_number 1
_symmetry_space_group_name_Hall 'P 1'
_cell_length_a 9.460
_cell_length_b 9.460
_cell_length_c 9.460
_cell_angle_alpha 19.24
_cell_angle_beta 19.24
_cell_angle_gamma 19.24
loop_
_atom_site_label
_atom_site_type_symbol
_atom_site_fract_x
_atom_site_fract_y
_atom_site_fract_z
_atom_site_occupancy
Ag1 Ag 0.750 0.750 0.750 1
Mn1 Mn 0.006 0.006 0.006 1
Mn2 Mn 0.494 0.494 0.494 1
Y1 Y 0.250 0.250 0.250 1
# Crystal system = trigonal


#D
# YMn2Ag (PBE-GGA, optimized geometry)
data_YMn2Ag
_symmetry_space_group_name_H-M 'P 1'
_symmetry_Int_Tables_number 1
_symmetry_space_group_name_Hall 'P 1'
_cell_length_a 3.190
_cell_length_b 3.190
_cell_length_c 7.187
_cell_angle_alpha 90.00
_cell_angle_beta 90.00
_cell_angle_gamma 90.00
loop_
_atom_site_label
_atom_site_type_symbol
_atom_site_fract_x
_atom_site_fract_y
_atom_site_fract_z
_atom_site_occupancy
Ag1 Ag 0.500 0.500 0.795 1
Mn1 Mn 0.000 0.000 0.030 1
Mn2 Mn 0.500 0.500 0.194 1
Y1 Y 0.000 0.000 0.481 1
# Crystal system = tetragonal


Stability, descending: #D, #A, #B, #C


#A
# YMn3Ag (PBE-GGA, optimized geometry)
data_YMn3Ag
_symmetry_space_group_name_H-M 'P 1'
_symmetry_Int_Tables_number 1
_symmetry_space_group_name_Hall 'P 1'
_cell_length_a 4.904
_cell_length_b 4.904
_cell_length_c 4.904
_cell_angle_alpha 90.00
_cell_angle_beta 90.00
_cell_angle_gamma 90.00
loop_
_atom_site_label
_atom_site_type_symbol
_atom_site_fract_x
_atom_site_fract_y
_atom_site_fract_z
_atom_site_occupancy
Y1 Y 0.500 0.500 0.500 1
Mn1 Mn 0.000 0.500 0.000 1
Mn2 Mn 0.000 0.000 0.500 1
Mn3 Mn 0.500 0.000 0.000 1
Ag1 Ag 0.000 0.000 0.000 1
# Crystal system = cubic


#B
# YMn3Ag (PBE-GGA, optimized geometry)
data_YMn3Ag
_symmetry_space_group_name_H-M 'P 1'
_symmetry_Int_Tables_number 1
_symmetry_space_group_name_Hall 'P 1'
_cell_length_a 4.920
_cell_length_b 4.920
_cell_length_c 4.920
_cell_angle_alpha 90.00
_cell_angle_beta 90.00
_cell_angle_gamma 90.00
loop_
_atom_site_label
_atom_site_type_symbol
_atom_site_fract_x
_atom_site_fract_y
_atom_site_fract_z
_atom_site_occupancy
Y1 Y 0.000 0.000 0.000 1
Mn1 Mn 0.000 0.500 0.000 1
Mn2 Mn 0.000 0.000 0.500 1
Mn3 Mn 0.500 0.000 0.000 1
Ag1 Ag 0.500 0.500 0.500 1
# Crystal system = cubic


Stability, descending: #A, #B


#A
# MnZn3Ag (PBE-GGA, optimized geometry)
data_MnZn3Ag
_symmetry_space_group_name_H-M 'P 1'
_symmetry_Int_Tables_number 1
_symmetry_space_group_name_Hall 'P 1'
_cell_length_a 2.802
_cell_length_b 4.293
_cell_length_c 12.638
_cell_angle_alpha 90.00
_cell_angle_beta 96.36
_cell_angle_gamma 90.00
loop_
_atom_site_label
_atom_site_type_symbol
_atom_site_fract_x
_atom_site_fract_y
_atom_site_fract_z
_atom_site_occupancy
Mn1 Mn 0.926 0.750 0.853 1
Mn2 Mn 0.074 0.250 0.147 1
Zn1 Zn 0.620 0.750 0.240 1
Zn2 Zn 0.380 0.250 0.760 1
Zn3 Zn 0.523 0.750 0.047 1
Zn4 Zn 0.477 0.250 0.953 1
Zn5 Zn 0.672 0.250 0.345 1
Zn6 Zn 0.328 0.750 0.655 1
Ag1 Ag 0.218 0.750 0.437 1
Ag2 Ag 0.782 0.250 0.563 1
# Crystal system = orthorhombic


#B
# MnZn3Ag (PBE-GGA, optimized geometry)
data_MnZn3Ag
_symmetry_space_group_name_H-M 'P 1'
_symmetry_Int_Tables_number 1
_symmetry_space_group_name_Hall 'P 1'
_cell_length_a 4.723
_cell_length_b 4.723
_cell_length_c 4.723
_cell_angle_alpha 90.00
_cell_angle_beta 90.00
_cell_angle_gamma 90.00
loop_
_atom_site_label
_atom_site_type_symbol
_atom_site_fract_x
_atom_site_fract_y
_atom_site_fract_z
_atom_site_occupancy
Zn1 Zn 0.000 0.500 0.000 1
Zn2 Zn 0.000 0.000 0.500 1
Zn3 Zn 0.500 0.000 0.000 1
Mn1 Mn 0.000 0.000 0.000 1
Ag1 Ag 0.500 0.500 0.500 1
# Crystal system = cubic


Stability, descending: #A, #B


#A
# MnZn4Ag (PBE-GGA, optimized geometry)
data_MnZn4Ag
_symmetry_space_group_name_H-M 'P 1'
_symmetry_Int_Tables_number 1
_symmetry_space_group_name_Hall 'P 1'
_cell_length_a 5.062
_cell_length_b 5.062
_cell_length_c 5.062
_cell_angle_alpha 60.00
_cell_angle_beta 60.00
_cell_angle_gamma 60.00
loop_
_atom_site_label
_atom_site_type_symbol
_atom_site_fract_x
_atom_site_fract_y
_atom_site_fract_z
_atom_site_occupancy
Ag1 Ag 0.250 0.250 0.250 1
Mn1 Mn 0.000 0.000 0.000 1
Zn1 Zn 0.124 0.625 0.625 1
Zn2 Zn 0.625 0.625 0.625 1
Zn3 Zn 0.625 0.124 0.625 1
Zn4 Zn 0.625 0.625 0.124 1
# Crystal system = cubic


#B
# MnZn4Ag (PBE-GGA, optimized geometry)
data_MnZn4Ag
_symmetry_space_group_name_H-M 'P 1'
_symmetry_Int_Tables_number 1
_symmetry_space_group_name_Hall 'P 1'
_cell_length_a 2.958
_cell_length_b 2.958
_cell_length_c 10.215
_cell_angle_alpha 90.00
_cell_angle_beta 90.00
_cell_angle_gamma 90.00
loop_
_atom_site_label
_atom_site_type_symbol
_atom_site_fract_x
_atom_site_fract_y
_atom_site_fract_z
_atom_site_occupancy
Mn1 Mn 0.500 0.500 0.500 1
Zn1 Zn 0.500 0.500 0.819 1
Zn2 Zn 0.500 0.500 0.181 1
Zn3 Zn 0.000 0.000 0.656 1
Zn4 Zn 0.000 0.000 0.344 1
Ag1 Ag 0.000 0.000 0.000 1
# Crystal system = tetragonal


Stability, descending: #B, #A